Entry 1:
5
Lattice="4.407 0.000 0.000 0.000 4.407 0.000 0.000 0.000 4.451" Properties=species:S:1:pos:R:3 comment="PBE-GGA CuPWS2, optimized geometry" e_form_raw_ev_per_atom=1.20 relative_energy_ev_per_fu=3.30 pbc="T T T"
Cu 0.000 0.000 0.000
P 0.000 0.000 2.225
W 2.204 2.204 2.225
S 0.000 2.204 0.000
S 2.204 0.000 0.000

=====

Entry 2:
10
Lattice="-2.468 2.468 8.624 2.468 -2.468 8.624 2.468 2.468 -8.624" Properties=species:S:1:pos:R:3 comment="PBE-GGA PmCu3Pd, optimized geometry" formation_energy_kcal_per_mol_atoms=2.29 pbc="T T T"
Pm 0.000 0.000 2.796
Pm 0.000 0.000 14.451
Cu 2.468 1.258 2.097
Cu 1.258 2.468 -2.097
Cu 1.210 0.000 6.526
Cu 0.000 2.468 0.881
Cu 0.000 1.210 10.721
Cu 0.000 2.468 7.743
Pd 2.468 0.000 4.312
Pd 0.000 0.000 8.624

=====

Entry 3:
10
Lattice="-1.958 2.762 9.785 1.958 -2.762 9.785 1.958 2.762 -9.785" Properties=species:S:1:pos:R:3 comment="PBE-GGA Y4HoS5, optimized geometry" e_form_raw_ev_per_atom=-1.99 pbc="T T T"
Y 0.000 0.000 1.958
Y 0.000 0.000 5.881
Y 0.000 0.000 13.689
Y 0.000 0.000 17.612
Ho 0.000 0.000 9.785
S 1.958 0.000 0.000
S 1.958 0.000 3.918
S 1.958 0.000 7.850
S 0.000 2.762 1.935
S 0.000 2.762 5.867

=====

Entry 4:
10
Lattice="8.082 0.000 0.000 0.000 8.082 0.000 0.000 0.000 3.521" Properties=species:S:1:pos:R:3 comment="PBE-GGA Y2Pt2Br, optimized geometry" e_form_raw_ev_per_atom=-1.08 relative_energy_ev_per_fu=0.36 pbc="T T T"
Y 1.340 2.702 0.000
Y 2.702 6.743 0.000
Y 5.381 1.340 0.000
Y 6.743 5.381 0.000
Pt 1.015 5.056 1.760
Pt 3.026 1.015 1.760
Pt 5.056 7.067 1.760
Pt 7.067 3.026 1.760
Br 0.000 0.000 1.760
Br 4.041 4.041 1.760

=====

Entry 5:
16
Lattice="6.261 0.000 0.000 0.000 6.261 0.000 0.000 0.000 6.261" Properties=species:S:1:pos:R:3 comment="PBE-GGA MgCuGePt, optimized geometry" formation_energy_kcal_per_mol_atoms=-8.23 pbc="T T T"
Mg 0.000 0.000 0.000
Mg 0.000 3.130 3.130
Mg 3.130 0.000 3.130
Mg 3.130 3.130 0.000
Cu 1.565 1.565 1.565
Cu 1.565 4.696 4.696
Cu 4.696 1.565 4.696
Cu 4.696 4.696 1.565
Ge 0.000 0.000 3.130
Ge 0.000 3.130 0.000
Ge 3.130 0.000 0.000
Ge 3.130 3.130 3.130
Pt 1.565 1.565 4.696
Pt 1.565 4.696 1.565
Pt 4.696 1.565 1.565
Pt 4.696 4.696 4.696

=====

Entry 6:
16
Lattice="8.102 0.000 0.000 0.000 8.102 0.000 0.000 0.000 8.102" Properties=species:S:1:pos:R:3 comment="PBE-GGA AcCePrBi, optimized geometry" formation_energy_kcal_per_mol_atoms=-3.72 pbc="T T T"
Ac 0.000 0.000 0.000
Ac 0.000 4.051 4.051
Ac 4.051 0.000 4.051
Ac 4.051 4.051 0.000
Ce 2.026 2.026 6.077
Ce 2.026 6.077 2.026
Ce 6.077 2.026 2.026
Ce 6.077 6.077 6.077
Pr 2.026 2.026 2.026
Pr 2.026 6.077 6.077
Pr 6.077 2.026 6.077
Pr 6.077 6.077 2.026
Bi 0.000 0.000 4.051
Bi 0.000 4.051 0.000
Bi 4.051 0.000 0.000
Bi 4.051 4.051 4.051

=====

Entry 7:
16
Lattice="6.689 0.000 0.000 0.000 8.309 0.000 0.000 0.000 9.368" Properties=species:S:1:pos:R:3 comment="PBE-GGA CsInHg2S4, optimized geometry" e_form_raw_ev_per_atom=-0.56 pbc="T T T"
Cs 0.000 0.000 0.000
Cs 3.345 4.154 4.684
In 0.000 0.000 4.684
In 3.345 4.154 0.000
Hg 0.000 4.154 1.627
Hg 0.000 4.154 7.741
Hg 3.345 0.000 3.057
Hg 3.345 0.000 6.311
S 1.435 1.407 3.175
S 1.435 6.902 6.193
S 1.909 2.748 7.859
S 1.909 5.561 1.509
S 4.780 2.748 1.509
S 4.780 5.561 7.859
S 5.254 1.407 6.193
S 5.254 6.902 3.175

=====

Entry 8:
6
Lattice="5.212 0.000 0.000 -2.606 4.513 0.000 0.000 0.000 4.421" Properties=species:S:1:pos:R:3 comment="PBE-GGA Mo5Pt, optimized geometry" relative_energy_ev_per_fu=3.01 formation_energy_kcal_per_mol_atoms=12.10 pbc="T T T"
Mo -1.303 2.257 0.000
Mo 0.000 3.009 2.211
Mo 2.606 0.000 0.000
Mo 1.303 2.257 0.000
Mo 2.606 1.504 2.211
Pt 0.000 0.000 2.211

=====

Entry 9:
12
Lattice="5.409 0.000 0.000 -2.704 4.684 0.000 0.000 0.000 29.995" Properties=species:S:1:pos:R:3 comment="PBE-GGA CdHgBr2, optimized geometry" e_form_raw_ev_per_atom=-0.35 relative_energy_ev_per_fu=1.09 pbc="T T T"
Cd 0.000 0.000 0.000
Cd 0.000 3.123 19.996
Cd 2.704 1.561 9.998
Hg 0.000 0.000 14.997
Hg 0.000 3.123 4.999
Hg 2.704 1.561 24.996
Br 0.000 0.000 2.414
Br 0.000 0.000 27.581
Br 0.000 3.123 17.582
Br 0.000 3.123 22.410
Br 2.704 1.561 7.584
Br 2.704 1.561 12.412

=====

Entry 10:
14
Lattice="4.347 2.510 7.362 -4.347 2.510 7.362 0.000 -5.020 7.362" Properties=species:S:1:pos:R:3 comment="PBE-GGA Nd3Ho3Th, optimized geometry" formation_energy_kcal_per_mol_atoms=5.34 pbc="T T T"
Nd -0.657 -2.184 6.267
Nd -1.563 1.661 6.267
Nd -2.219 -0.523 15.818
Nd 2.219 0.523 6.267
Nd 1.563 -1.661 15.818
Nd 0.657 2.184 15.818
Ho -0.986 -1.757 9.762
Ho -2.015 -0.025 12.323
Ho -1.029 1.732 9.762
Ho 1.029 -1.732 12.323
Ho 2.015 0.025 9.762
Ho 0.986 1.757 12.323
Th 0.000 0.000 3.475
Th 0.000 0.000 18.610

=====

Entry 11:
15
Lattice="6.541 0.000 0.000 -3.270 5.665 0.000 0.000 0.000 9.252" Properties=species:S:1:pos:R:3 comment="PBE-GGA Ac3GaGe2Pt9, optimized geometry" formation_energy_kcal_per_mol_atoms=-16.57 pbc="T T T"
Ac 0.000 0.000 0.000
Ac 0.000 3.776 6.433
Ac 3.270 1.888 2.819
Ga 0.000 0.000 4.626
Ge 0.000 3.776 1.715
Ge 3.270 1.888 7.537
Pt -1.635 2.832 0.000
Pt 0.000 1.596 2.686
Pt -1.889 4.867 2.686
Pt 1.382 0.798 6.566
Pt 3.270 0.000 0.000
Pt 1.635 2.832 0.000
Pt 1.889 4.867 2.686
Pt 5.159 0.798 6.566
Pt 3.270 4.069 6.566

=====

Entry 12:
5
Lattice="4.873 0.000 0.000 0.000 4.873 0.000 0.000 0.000 4.669" Properties=species:S:1:pos:R:3 comment="PBE-GGA Hf2ScTaCu, optimized geometry" formation_energy_kcal_per_mol_atoms=17.10 pbc="T T T"
Hf 0.000 2.437 0.000
Hf 2.437 0.000 0.000
Sc 0.000 0.000 2.335
Ta 2.437 2.437 2.335
Cu 0.000 0.000 0.000